# CdSbP

A relaxed CdSbP crystal (PBE-GGA, the Alexandria database).

a b c (Å): 4.724 6.290 6.332
angles (deg): 68.29 69.45 68.00
Space group P1 (No. 1)
Unique sites:
Cd  0.000  0.000  0.000 x1
Cd  0.191  0.204  0.470 x1
Sb  0.472  0.385  0.867 x1
Sb  0.672  0.774  0.842 x1
P  0.051  0.858  0.428 x1
P  0.446  0.522  0.431 x1

Calculated values
distance to the lowest polymorph of the same formula	0.106	eV/atom



# TlSiSb2

A relaxed TlSiSb2 crystal (PBE-GGA, the Alexandria database).

a b c (Å): 11.116 3.725 5.954
angles (deg): 90.00 111.30 90.00
Space group Cm (No. 8)
Unique sites:
Tl  0.000  0.000  0.000 x2
Si  0.266  0.000  0.676 x2
Sb  0.067  0.500  0.542 x2
Sb  0.288  0.500  0.352 x2

Calculated values
distance to the lowest polymorph of the same formula	0.097	eV/atom



# CsNa2GaHg

A relaxed CsNa2GaHg crystal (PBE-GGA, the Alexandria database).

a b c (Å): 5.930 5.930 5.484
angles (deg): 90.00 90.00 90.00
Space group P4/mmm (No. 123)
Unique sites:
Cs  0.000  0.000  0.000 x1
Na  0.000  0.500  0.500 x2
Ga  0.500  0.500  0.500 x1
Hg  0.500  0.500  0.000 x1

Calculated values
ΔE_f	-0.06	eV/atom
distance to the lowest polymorph of the same formula	0.000	eV/atom



# BaZrCd

A relaxed BaZrCd crystal (PBE-GGA, the Alexandria database).

a b c (Å): 5.4437 5.4437 3.6179
angles (deg): 90.00 90.00 120.00
Space group P-6m2 (No. 187)
Unique sites:
Ba  0.0000  0.0000  0.0000 x1
Zr  0.3333  0.6667  0.5000 x1
Cd  0.6667  0.3333  0.5000 x1

Calculated values
ΔE_f	0.39	eV/atom
distance to the lowest polymorph of the same formula	0.306	eV/atom



# Y2MgTa

A relaxed Y2MgTa crystal (PBE-GGA, the Alexandria database).

a b c (Å): 3.3096 3.3096 32.5533
angles (deg): 90.00 90.00 120.00
Space group R-3m (No. 166, hexagonal axes)
Unique sites:
Y  0.0000  0.0000  0.2443 x6
Mg  0.0000  0.0000  0.0000 x3
Ta  0.0000  0.0000  0.5000 x3

Calculated values
ΔE_f	0.29	eV/atom



# RbTa2NiSe

A relaxed RbTa2NiSe crystal (PBE-GGA, the Alexandria database).

a b c (Å): 5.047 5.047 4.334
angles (deg): 90.00 90.00 90.00
Space group P4/mmm (No. 123)
Unique sites:
Rb  0.000  0.000  0.000 x1
Ta  0.000  0.500  0.000 x2
Ni  0.000  0.000  0.500 x1
Se  0.500  0.500  0.500 x1



# B7C3

A relaxed B7C3 crystal (PBE-GGA, the Alexandria database).

a b c (Å): 4.178 4.497 4.839
angles (deg): 86.41 66.11 62.58
Space group P1 (No. 1)
Unique sites:
B  0.000  0.000  0.000 x1
B  0.020  0.352  0.130 x1
B  0.285  0.544  0.841 x1
B  0.493  0.749  0.945 x1
B  0.562  0.975  0.229 x1
B  0.826  0.279  0.701 x1
B  0.849  0.883  0.768 x1
C  0.167  0.310  0.420 x1
C  0.245  0.573  0.496 x1
C  0.543  0.642  0.263 x1

Calculated values
ΔE_f	0.39	eV/atom
distance to the lowest polymorph of the same formula	0.101	eV/atom



# NiAsCl2

A relaxed NiAsCl2 crystal (PBE-GGA, the Alexandria database).

a b c (Å): 3.164 3.164 7.867
angles (deg): 90.00 90.00 90.00
Space group P4mm (No. 99)
Unique sites:
Ni  0.000  0.000  0.000 x1
As  0.500  0.500  0.156 x1
Cl  0.000  0.000  0.394 x1
Cl  0.500  0.500  0.820 x1

Calculated values
distance to the lowest polymorph of the same formula	0.452	eV/atom



# Ba2ScSe

A relaxed Ba2ScSe crystal (PBE-GGA, the Alexandria database).

a b c (Å): 4.857 4.857 12.484
angles (deg): 90.00 90.00 90.00
Space group I-4m2 (No. 119)
Unique sites:
Ba  0.000  0.000  0.000 x2
Ba  0.000  0.500  0.250 x2
Sc  0.000  0.500  0.750 x2
Se  0.000  0.000  0.500 x2



# NdHo3Co

A relaxed NdHo3Co crystal (PBE-GGA, the Alexandria database).

a b c (Å): 13.188 3.725 11.154
angles (deg): 90.00 90.83 90.00
Space group C2/m (No. 12)
Unique sites:
Nd  0.168  0.000  0.091 x4
Ho  0.062  0.000  0.373 x4
Ho  0.063  0.500  0.843 x4
Ho  0.214  0.000  0.636 x4
Co  0.084  0.500  0.560 x4

Calculated values
ΔE_f	-0.10	eV/atom
distance to the lowest polymorph of the same formula	0.000	eV/atom



# ScTlF3

A relaxed ScTlF3 crystal (PBE-GGA, the Alexandria database).

a b c (Å): 4.726 4.726 4.726
angles (deg): 90.00 90.00 90.00
Space group Pm-3m (No. 221)
Unique sites:
Sc  0.000  0.000  0.000 x1
Tl  0.500  0.500  0.500 x1
F  0.000  0.500  0.500 x3

Calculated values
distance to the lowest polymorph of the same formula	1.344	eV/atom



# Dy2Si3IrPt4

A relaxed Dy2Si3IrPt4 crystal (PBE-GGA, the Alexandria database).

a b c (Å): 3.974 3.974 11.132
angles (deg): 90.00 90.00 90.00
Space group P-4m2 (No. 115)
Unique sites:
Dy  0.000  0.500  0.247 x2
Si  0.000  0.000  0.000 x1
Si  0.000  0.500  0.631 x2
Ir  0.500  0.500  0.000 x1
Pt  0.000  0.000  0.500 x1
Pt  0.000  0.500  0.838 x2
Pt  0.500  0.500  0.500 x1



# InNi2Br

A relaxed InNi2Br crystal (PBE-GGA, the Alexandria database).

a b c (Å): 3.568 3.208 6.380
angles (deg): 90.00 90.11 90.00
Space group P2/m (No. 10)
Unique sites:
In  0.000  0.000  0.000 x1
Ni  0.499  0.500  0.808 x2
Br  0.500  0.000  0.500 x1

Calculated values
distance to the lowest polymorph of the same formula	0.014	eV/atom



# Ca2Cr2Si

A relaxed Ca2Cr2Si crystal (PBE-GGA, the Alexandria database).

a b c (Å): 4.477 4.477 11.973
angles (deg): 90.00 90.00 90.00
Space group I4/mmm (No. 139)
Unique sites:
Ca  0.000  0.500  0.250 x4
Cr  0.000  0.000  0.072 x4
Si  0.000  0.000  0.500 x2



# BeAs3Os

A relaxed BeAs3Os crystal (PBE-GGA, the Alexandria database).

a b c (Å): 4.811 4.811 4.811
angles (deg): 90.00 90.00 90.00
Space group Pm-3m (No. 221)
Unique sites:
Be  0.000  0.000  0.000 x1
As  0.000  0.500  0.500 x3
Os  0.500  0.500  0.500 x1

Calculated values
ΔE_f	1.10	eV/atom
distance to the lowest polymorph of the same formula	0.055	eV/atom



# Tb2PIr

A relaxed Tb2PIr crystal (PBE-GGA, the Alexandria database).

a b c (Å): 3.7208 3.7208 25.6330
angles (deg): 90.00 90.00 120.00
Space group R-3m (No. 166, hexagonal axes)
Unique sites:
Tb  0.0000  0.0000  0.1012 x6
P  0.0000  0.0000  0.5000 x3
Ir  0.0000  0.0000  0.0000 x3

Calculated values
ΔE_f	-0.18	eV/atom



# Pm2MgCd4

A relaxed Pm2MgCd4 crystal (PBE-GGA, the Alexandria database).

a b c (Å): 5.1487 5.1487 25.2180
angles (deg): 90.00 90.00 120.00
Space group R-3m (No. 166, hexagonal axes)
Unique sites:
Pm  0.0000  0.0000  0.2475 x6
Mg  0.0000  0.0000  0.5000 x3
Cd  0.0000  0.0000  0.1222 x6
Cd  0.0000  0.0000  0.3733 x6

Calculated values
ΔE_f	-0.15	eV/atom
distance to the lowest polymorph of the same formula	0.000	eV/atom



# EuHCl

A relaxed EuHCl crystal (PBE-GGA, the Alexandria database).

a b c (Å): 4.017 4.017 6.973
angles (deg): 90.00 90.00 90.00
Space group P4/nmm (No. 129, origin choice 2)
Unique sites:
Eu  0.250  0.250  0.199 x2
H  0.250  0.750  0.000 x2
Cl  0.250  0.250  0.650 x2



# Ba2SiBr

A relaxed Ba2SiBr crystal (PBE-GGA, the Alexandria database).

a b c (Å): 5.626 4.015 12.742
angles (deg): 90.00 90.00 90.00
Space group Amm2 (No. 38)
Unique sites:
Ba  0.000  0.000  0.000 x2
Ba  0.500  0.000  0.240 x2
Si  0.000  0.000  0.735 x2
Br  0.500  0.000  0.497 x2

Calculated values
distance to the lowest polymorph of the same formula	0.060	eV/atom



# SrCeO4

A relaxed SrCeO4 crystal (PBE-GGA, the Alexandria database).

a b c (Å): 3.864 3.864 6.083
angles (deg): 90.00 90.00 90.00
Space group P4/mmm (No. 123)
Unique sites:
Sr  0.000  0.000  0.000 x1
Ce  0.500  0.500  0.500 x1
O  0.000  0.500  0.276 x4



| no. | DFT total energy (eV/atom) |
| --- | --- |
| 1 | -3.39 |
| 2 | -3.74 |
| 3 | -1.43 |
| 4 | -3.40 |
| 5 | -6.31 |
| 6 | -3.83 |
| 7 | -7.05 |
| 8 | -3.54 |
| 9 | -3.72 |
| 10 | -5.22 |
| 11 | -4.27 |
| 12 | -6.76 |
| 13 | -3.93 |
| 14 | -4.63 |
| 15 | -4.69 |
| 16 | -6.07 |
| 17 | -2.26 |
| 18 | -6.68 |
| 19 | -3.61 |
| 20 | -6.97 |